1.
DFT (PBE-GGA) results for Ba2ReCl after structural relaxation.

Lattice parameters (Å, degrees): 5.576 5.576 5.576 60.00 60.00 60.00
Last column: magnetic moment on the atom in μB.
Atoms (fractional coordinates):
Cl1 0.500 0.500 0.500  0.03
Ba1 0.250 0.250 0.250  -0.12
Ba2 0.000 0.000 0.000  -0.03
Re1 0.750 0.750 0.750  2.12

Summary:
- crystal system = cubic
- energy above the most stable polymorph in this dataset (meV per atom) = 746
- space group = No. 216

=====

2.
DFT (PBE-GGA) results for BaReCl3 after structural relaxation.

Lattice parameters (Å, degrees): 4.939 4.939 4.939 90.00 90.00 90.00
Last column: magnetic moment on the atom in μB.
Atoms (fractional coordinates):
Cl1 0.000 0.000 0.500  0.02
Cl2 0.500 0.000 0.000  0.01
Cl3 0.000 0.500 0.000  0.00
Re1 0.000 0.000 0.000  1.18
Ba1 0.500 0.500 0.500  0.00

Summary:
- crystal system = cubic
- energy above the most stable polymorph in this dataset (meV per atom) = 0
- space group = No. 221

=====

3.
DFT (PBE-GGA) results for Ba2ReCl after structural relaxation.

Lattice parameters (Å, degrees): 3.736 5.320 6.305 90.00 90.00 90.00
Last column: magnetic moment on the atom in μB.
Atoms (fractional coordinates):
Re1 0.500 0.500 0.875  1.58
Ba1 0.500 0.500 0.375  -0.02
Ba2 0.000 0.000 0.875  0.00
Cl1 0.000 0.000 0.375  0.00

Summary:
- crystal system = orthorhombic
- energy above the most stable polymorph in this dataset (meV per atom) = 33
- space group = No. 47

=====

4.
DFT (PBE-GGA) results for Ba2ReCl after structural relaxation.

Lattice parameters (Å, degrees): 7.288 7.288 7.288 143.85 143.85 52.05
Last column: magnetic moment on the atom in μB.
Atoms (fractional coordinates):
Ba1 0.000 0.000 0.000  -0.07
Ba2 0.250 0.750 0.500  -0.04
Re1 0.750 0.250 0.500  2.12
Cl1 0.500 0.500 0.000  0.01

Summary:
- crystal system = tetragonal
- energy above the most stable polymorph in this dataset (meV per atom) = 376
- space group = No. 119

=====

5.
DFT (PBE-GGA) results for BaReRuCl2 after structural relaxation.

Lattice parameters (Å, degrees): 4.794 6.366 4.794 90.00 90.00 90.00
Last column: magnetic moment on the atom in μB.
Atoms (fractional coordinates):
Ru1 0.000 0.000 0.000  1.30
Cl1 0.500 0.000 0.000  0.14
Cl2 0.000 0.000 0.500  0.06
Ba1 0.000 0.500 0.000  -0.04
Re1 0.500 0.500 0.500  3.36

Summary:
- crystal system = tetragonal
- space group = No. 123

=====

6.
DFT (PBE-GGA) results for BaReSCl2 after structural relaxation.

Lattice parameters (Å, degrees): 5.854 5.854 6.168 90.00 90.00 90.00
Last column: magnetic moment on the atom in μB.
Atoms (fractional coordinates):
S1 0.000 0.000 0.500  -0.43
Re1 0.500 0.500 0.500  4.50
Cl1 0.500 0.000 0.000  0.03
Cl2 0.000 0.500 0.000  0.03
Ba1 0.000 0.000 0.000  -0.01

Summary:
- crystal system = tetragonal
- energy above the most stable polymorph in this dataset (meV per atom) = 1167
- space group = No. 123

=====

7.
DFT (PBE-GGA) results for BaReSCl2 after structural relaxation.

Lattice parameters (Å, degrees): 5.109 5.109 4.546 90.00 90.00 90.00
Atoms (fractional coordinates):
Ba1 0.500 0.500 0.500
Re1 0.000 0.000 0.000
S1 0.000 0.000 0.500
Cl1 0.500 0.000 0.000
Cl2 0.000 0.500 0.000

Summary:
- crystal system = tetragonal
- energy above the most stable polymorph in this dataset (meV per atom) = 0
- space group = No. 123

=====

8.
DFT (PBE-GGA) results for Ba2ReSeCl after structural relaxation.

Lattice parameters (Å, degrees): 6.116 4.711 6.116 90.00 90.00 90.00
Atoms (fractional coordinates):
Ba1 0.000 0.000 0.500
Ba2 0.500 0.000 0.000
Cl1 0.500 0.500 0.500
Re1 0.000 0.000 0.000
Se1 0.000 0.500 0.000

Summary:
- crystal system = tetragonal
- energy above the most stable polymorph in this dataset (meV per atom) = 0
- space group = No. 123

=====

9.
DFT (PBE-GGA) results for Ba2ReSeCl after structural relaxation.

Lattice parameters (Å, degrees): 6.284 5.124 6.284 90.00 90.00 90.00
Last column: magnetic moment on the atom in μB.
Atoms (fractional coordinates):
Re1 0.500 0.500 0.500  2.98
Ba1 0.500 0.000 0.000  -0.04
Ba2 0.000 0.000 0.500  -0.05
Cl1 0.000 0.500 0.000  0.01
Se1 0.000 0.000 0.000  0.02

Summary:
- crystal system = tetragonal
- energy above the most stable polymorph in this dataset (meV per atom) = 997
- space group = No. 123

=====

10.
DFT (PBE-GGA) results for BaReSnCl2 after structural relaxation.

Lattice parameters (Å, degrees): 5.400 6.978 5.400 90.00 90.00 90.00
Last column: magnetic moment on the atom in μB.
Atoms (fractional coordinates):
Ba1 0.000 0.500 0.000  -0.04
Cl1 0.500 0.000 0.000  0.01
Cl2 0.000 0.000 0.500  0.01
Re1 0.500 0.500 0.500  3.38
Sn1 0.000 0.000 0.000  0.01

Summary:
- crystal system = tetragonal
- space group = No. 123

=====

11.
DFT (PBE-GGA) results for Ba2SrReCl after structural relaxation.

Lattice parameters (Å, degrees): 5.957 5.532 5.957 90.00 90.00 90.00
Last column: magnetic moment on the atom in μB.
Atoms (fractional coordinates):
Sr1 0.000 0.500 0.000  -0.10
Cl1 0.000 0.000 0.000  0.00
Ba1 0.000 0.000 0.500  -0.17
Ba2 0.500 0.000 0.000  -0.15
Re1 0.500 0.500 0.500  2.77

Summary:
- crystal system = tetragonal
- space group = No. 123

=====

12.
DFT (PBE-GGA) results for BaRe2TeCl after structural relaxation.

Lattice parameters (Å, degrees): 6.862 6.342 6.862 90.00 90.00 90.00
Last column: magnetic moment on the atom in μB.
Atoms (fractional coordinates):
Te1 0.000 0.500 0.000  0.44
Re1 0.000 0.000 0.500  3.93
Re2 0.500 0.000 0.000  4.08
Ba1 0.000 0.000 0.000  -0.02
Cl1 0.500 0.500 0.500  0.18

Summary:
- crystal system = tetragonal
- space group = No. 123

=====

13.
DFT (PBE-GGA) results for BaTlReCl2 after structural relaxation.

Lattice parameters (Å, degrees): 4.922 6.381 4.922 90.00 90.00 90.00
Last column: magnetic moment on the atom in μB.
Atoms (fractional coordinates):
Re1 0.000 0.000 0.000  1.76
Ba1 0.000 0.500 0.000  0.00
Cl1 0.000 0.000 0.500  0.03
Cl2 0.500 0.000 0.000  0.11
Tl1 0.500 0.500 0.500  0.01

Summary:
- crystal system = tetragonal
- space group = No. 123

=====

14.
DFT (PBE-GGA) results for BaTl2ReCl8 after structural relaxation.

Lattice parameters (Å, degrees): 7.069 7.062 8.655 75.25 99.86 98.09
Last column: magnetic moment on the atom in μB.
Atoms (fractional coordinates):
Cl1 0.993 0.258 0.758  0.03
Cl2 0.007 0.742 0.242  0.03
Cl3 0.678 0.891 0.915  0.08
Cl4 0.385 0.244 0.495  0.01
Cl5 0.891 0.215 0.132  0.04
Cl6 0.109 0.785 0.868  0.04
Cl7 0.615 0.756 0.505  0.01
Cl8 0.322 0.109 0.085  0.08
Re1 0.000 0.000 0.000  2.20
Ba1 0.000 0.000 0.500  0.01
Tl1 0.560 0.395 0.781  0.01
Tl2 0.440 0.605 0.219  0.01

Summary:
- crystal system = triclinic
- space group = No. 2

=====

15.
DFT (PBE-GGA) results for BaZn2ReCl after structural relaxation.

Lattice parameters (Å, degrees): 5.220 5.755 5.220 90.00 90.00 90.00
Last column: magnetic moment on the atom in μB.
Atoms (fractional coordinates):
Ba1 0.000 0.500 0.000  -0.04
Cl1 0.000 0.000 0.000  -0.02
Re1 0.500 0.500 0.500  3.29
Zn1 0.500 0.000 0.000  -0.01
Zn2 0.000 0.000 0.500  0.01

Summary:
- crystal system = tetragonal
- space group = No. 123

=====

16.
DFT (PBE-GGA) results for BaRhCl after structural relaxation.

Lattice parameters (Å, degrees): 6.509 5.741 4.407 78.59 59.83 41.58
Atoms (fractional coordinates):
Cl1 0.288 0.288 0.712
Rh1 0.705 0.705 0.295
Ba1 0.007 0.007 0.993

Summary:
- crystal system = orthorhombic
- energy above the most stable polymorph in this dataset (meV per atom) = 752
- space group = No. 42

=====

17.
DFT (PBE-GGA) results for BaRhCl after structural relaxation.

Lattice parameters (Å, degrees): 9.752 4.240 4.581 90.00 103.58 115.71
Atoms (fractional coordinates):
Ba1 0.585 0.839 0.057
Ba2 0.128 0.884 0.829
Cl1 0.985 0.240 0.257
Cl2 0.728 0.482 0.629
Rh1 0.280 0.535 0.405
Rh2 0.433 0.187 0.481

Summary:
- crystal system = monoclinic
- energy above the most stable polymorph in this dataset (meV per atom) = 77
- space group = No. 12

=====

18.
DFT (PBE-GGA) results for Ba3RhCl after structural relaxation.

Lattice parameters (Å, degrees): 6.087 6.087 6.087 90.00 90.00 90.00
Atoms (fractional coordinates):
Ba1 0.000 0.000 0.500
Ba2 0.000 0.500 0.000
Ba3 0.500 0.000 0.000
Rh1 0.000 0.000 0.000
Cl1 0.500 0.500 0.500

Summary:
- crystal system = cubic
- energy above the most stable polymorph in this dataset (meV per atom) = 294
- space group = No. 221

=====

19.
DFT (PBE-GGA) results for Ba3RhCl2 after structural relaxation.

Lattice parameters (Å, degrees): 7.903 7.903 8.316 99.11 99.11 119.95
Atoms (fractional coordinates):
Ba1 0.407 0.097 0.224
Ba2 0.051 0.385 0.223
Ba3 0.260 0.236 0.776
Ba4 0.903 0.593 0.776
Ba5 0.764 0.740 0.224
Ba6 0.615 0.949 0.777
Rh1 0.001 0.999 0.000
Rh2 0.666 0.334 0.000
Cl1 0.333 0.667 0.000
Cl2 0.494 0.506 0.500
Cl3 0.833 0.167 0.500
Cl4 0.172 0.828 0.500

Summary:
- crystal system = monoclinic
- energy above the most stable polymorph in this dataset (meV per atom) = 0
- space group = No. 12

=====

20.
DFT (PBE-GGA) results for Ba6Rh2Cl after structural relaxation.

Lattice parameters (Å, degrees): 4.581 7.931 12.916 112.54 90.00 106.79
Atoms (fractional coordinates):
Ba1 0.671 0.343 0.603
Ba2 0.984 0.967 0.237
Ba3 0.016 0.033 0.763
Ba4 0.677 0.355 0.080
Ba5 0.323 0.645 0.920
Ba6 0.329 0.657 0.397
Cl1 0.000 0.000 0.500
Rh1 0.334 0.668 0.179
Rh2 0.666 0.332 0.821

Summary:
- crystal system = monoclinic
- energy above the most stable polymorph in this dataset (meV per atom) = 0
- space group = No. 12

=====

We obtain energy relative to the elements, uncorrected values of 719, -545, 6, 349, 949, 416, -751, -577, 419, 654, 376, 2619, 268, -1208, 1025, -389, -1064, -542, -1341, -545 meV per atom for the records listed above, in that order.